1.
Here is an optimized crystal structure of LiZrInHg from Alexandria. Energies are from PBE.

Calculated values
Formation enthalpy at 0 K (eV per formula unit): -1.15

Cell and atoms, written as POSCAR:
```
LiZrInHg
1.0
3.261 0.000 0.000
0.000 3.261 0.000
0.000 0.000 7.483
Li Zr In Hg
1 1 1 1
direct
0.000 0.000 0.000
0.000 0.000 0.484
0.500 0.500 0.764
0.500 0.500 0.208
```

---

2.
Here is an optimized crystal structure of Ce3GaPd3 from Alexandria. Energies are from PBE.

Calculated values
Formation enthalpy at 0 K (eV per formula unit): -3.26

Cell and atoms, written as POSCAR:
```
Ce3GaPd3
1.0
8.738 0.000 0.000
-4.369 7.567 0.000
0.000 0.000 5.658
Ce Ga Pd
6 2 6
direct
0.046 0.359 0.250
0.314 0.954 0.250
0.359 0.314 0.750
0.641 0.686 0.250
0.686 0.046 0.750
0.954 0.641 0.750
0.333 0.667 0.750
0.667 0.333 0.250
0.049 0.362 0.750
0.313 0.951 0.750
0.362 0.313 0.250
0.638 0.687 0.750
0.687 0.049 0.250
0.951 0.638 0.250
```

---

3.
Here is an optimized crystal structure of CoTe2SeN from Alexandria. Energies are from PBE.

Calculated values
Energy above the lowest structure with this stoichiometry (meV/atom): 1013
Formation energy (no corrections) (eV per atom): 1.38

Cell and atoms, written as POSCAR:
```
CoTe2SeN
1.0
5.516 0.000 0.000
0.000 5.516 0.000
0.000 0.000 3.588
Co Te Se N
1 2 1 1
direct
0.000 0.000 0.000
0.000 0.500 0.500
0.500 0.000 0.500
0.500 0.500 0.500
0.500 0.500 0.000
```